1.
This record from the Alexandria database describes LaGaSe2 at its PBEsol-relaxed geometry. The functional is SCAN.

```
8
Lattice="-5.781 1.108 2.649 -2.378 -5.185 -3.021 5.823 -1.950 5.659" Properties=species:S:1:pos:R:3 pbc="T T T"
Ga -2.019 -1.440 4.061
Ga -4.079 -2.038 -0.186
Se -2.769 -4.613 -0.246
Se -4.518 -1.457 2.611
Se 3.357 -1.951 4.210
Se -0.742 -4.032 3.999
La -0.317 -4.586 1.226
La 0.000 0.000 0.000
```

## Properties
SG: I-42d
E (eV per atom): -26.006
Formation energy from raw total energies (eV per formula unit): -4.41


2.
This record from the Alexandria database describes LaGaSi3 at its PBEsol-relaxed geometry. The functional is SCAN.

```
5
Lattice="4.766 0.000 0.000 0.000 4.766 0.000 0.000 0.000 4.766" Properties=species:S:1:pos:R:3 pbc="T T T"
Si 0.000 2.383 0.000
Si 0.000 0.000 2.383
Si 2.383 0.000 0.000
Ga 0.000 0.000 0.000
La 2.383 2.383 2.383
```

## Properties
SG: Pm-3m
DOS at the Fermi energy (states/eV/cell): 3.0
E (eV per atom): -17.565
Formation energy from raw total energies (eV per formula unit): 1.67


3.
This record from the Alexandria database describes LaGaSi at its PBEsol-relaxed geometry. The functional is SCAN.

```
6
Lattice="4.252 0.000 0.000 0.000 4.252 0.000 -2.126 -2.126 7.165" Properties=species:S:1:pos:R:3 pbc="T T T"
Si 2.126 0.000 5.936
Si 2.126 2.126 2.354
Ga 0.000 2.126 1.164
Ga 2.126 2.126 4.746
La 0.000 2.126 7.135
La 0.000 0.000 3.553
```

## Properties
SG: I4_1md
DOS at the Fermi energy (states/eV/cell): 1.3
E (eV per atom): -23.951
Formation energy from raw total energies (eV per formula unit): -2.39


4.
This record from the Alexandria database describes La4GaSi3 at its PBEsol-relaxed geometry. The functional is SCAN.

```
8
Lattice="-0.556 3.197 2.317 1.406 -2.337 3.562 10.584 3.299 -2.012" Properties=species:S:1:pos:R:3 pbc="T T T"
Si 6.711 0.704 0.639
Si 5.018 1.861 2.066
Si 9.569 4.668 -0.714
Ga 0.715 0.223 -0.136
La 3.815 1.189 -0.725
La 9.754 1.653 0.060
La 1.943 0.903 2.651
La 6.512 3.715 -0.132
```

## Properties
SG: Pmm2
DOS at the Fermi energy (states/eV/cell): 5.2
E (eV per atom): -28.127
Formation energy from raw total energies (eV per formula unit): -6.20


5.
This record from the Alexandria database describes LaGa3Sn at its PBEsol-relaxed geometry. The functional is SCAN.

```
5
Lattice="-1.107 4.608 2.774 -4.247 0.989 -3.338 -3.300 -2.818 3.364" Properties=species:S:1:pos:R:3 pbc="T T T"
Sn -4.327 1.389 1.400
Ga -2.123 0.494 -1.669
Ga -1.650 -1.409 1.682
Ga -0.554 2.304 1.387
La 0.000 0.000 0.000
```

## Properties
SG: Pm-3m
DOS at the Fermi energy (states/eV/cell): 3.5
Calculated formation energy (eV/atom): 0.803
E (eV per atom): -24.810


6.
This record from the Alexandria database describes Sr2LaGaTe at its PBEsol-relaxed geometry. The functional is SCAN.

```
5
Lattice="5.992 0.000 0.000 0.000 6.011 0.000 0.000 0.000 6.011" Properties=species:S:1:pos:R:3 pbc="T T T"
Sr 0.000 0.000 3.005
Sr 0.000 3.005 0.000
Te 0.000 0.000 0.000
Ga 2.996 3.005 3.005
La 2.996 0.000 0.000
```

## Properties
SG: P4/mmm
DOS at the Fermi energy (states/eV/cell): 6.6
E (eV per atom): -28.555
Formation energy from raw total energies (eV per formula unit): -1.52